Here is a relaxed ReP2Ir crystal from the Alexandria database. Energies are from GGA-PBE.

```
4
Lattice="-1.682 2.357 0.453 0.492 -1.840 2.228 6.228 4.064 1.981" Properties=species:S:1:pos:R:3 pbc="T T T"
Re 0.962 1.274 1.836
P 0.012 0.008 0.004
P 3.102 2.024 0.987
Ir 4.076 3.306 2.826
```

## Properties
Crystal system: orthorhombic
SG: Cmmm
Energy of formation from the pure elements, meV per atom: 412
Calculated total energy, eV per atom: -7.62
D(E_F), states/eV/atom: 0.874
Spin magnetization, μB per formula unit: 0.00
Energy above the lowest structure with this stoichiometry, kJ per mole of atoms: 69.0